# TiAu3S (PBE, optimized geometry)
data_TiAu3S
_symmetry_space_group_name_H-M 'P 1'
_symmetry_Int_Tables_number 1
_cell_length_a 4.9853
_cell_length_b 4.9853
_cell_length_c 4.9853
_cell_angle_alpha 90.00
_cell_angle_beta 90.00
_cell_angle_gamma 90.00
loop_
_symmetry_equiv_pos_as_xyz
'x,y,z'
loop_
_atom_site_label
_atom_site_type_symbol
_atom_site_fract_x
_atom_site_fract_y
_atom_site_fract_z
Ti1 Ti 0.0000 0.0000 0.0000
Au1 Au 0.0000 0.0000 0.5000
Au2 Au 0.0000 0.5000 0.0000
Au3 Au 0.5000 0.0000 0.0000
S1 S 0.5000 0.5000 0.5000
# Formation energy (no corrections) ... 1.03 eV per atom
# Excess energy over the best structure of this formula in the dataset ... 413 meV/atom

=====

# Ac2SmPt (PBE, optimized geometry)
data_Ac2SmPt
_symmetry_space_group_name_H-M 'P 1'
_symmetry_Int_Tables_number 1
_cell_length_a 3.8615
_cell_length_b 3.8615
_cell_length_c 9.0093
_cell_angle_alpha 90.00
_cell_angle_beta 90.00
_cell_angle_gamma 90.00
loop_
_symmetry_equiv_pos_as_xyz
'x,y,z'
loop_
_atom_site_label
_atom_site_type_symbol
_atom_site_fract_x
_atom_site_fract_y
_atom_site_fract_z
Ac1 Ac 0.0000 0.0000 0.1984
Ac2 Ac 0.0000 0.0000 0.8016
Sm1 Sm 0.5000 0.5000 0.5000
Pt1 Pt 0.5000 0.5000 0.0000
# Energy of formation from the pure elements ... -1.821 eV/f.u.
# Excess energy over the best structure of this formula in the dataset ... 47 meV/atom

=====

# Rb3Ac2ScTe6 (PBE, optimized geometry)
data_Rb3Ac2ScTe6
_symmetry_space_group_name_H-M 'P 1'
_symmetry_Int_Tables_number 1
_cell_length_a 8.1600
_cell_length_b 8.1600
_cell_length_c 8.9932
_cell_angle_alpha 98.76
_cell_angle_beta 98.76
_cell_angle_gamma 120.02
loop_
_symmetry_equiv_pos_as_xyz
'x,y,z'
loop_
_atom_site_label
_atom_site_type_symbol
_atom_site_fract_x
_atom_site_fract_y
_atom_site_fract_z
Rb1 Rb 0.0000 0.0000 0.0000
Rb2 Rb 0.3277 0.6723 0.0000
Rb3 Rb 0.6723 0.3277 0.0000
Ac1 Ac 0.1660 0.8340 0.5000
Ac2 Ac 0.8340 0.1660 0.5000
Sc1 Sc 0.5000 0.5000 0.5000
Te1 Te 0.1270 0.4324 0.2967
Te2 Te 0.2643 0.2643 0.7044
Te3 Te 0.4324 0.1270 0.2967
Te4 Te 0.5676 0.8730 0.7033
Te5 Te 0.7357 0.7357 0.2956
Te6 Te 0.8730 0.5676 0.7033
# Formation energy (no corrections) ... -1.38 eV per atom

=====

# ZnCu2MoI (PBE, optimized geometry)
data_ZnCu2MoI
_symmetry_space_group_name_H-M 'P 1'
_symmetry_Int_Tables_number 1
_cell_length_a 4.8393
_cell_length_b 4.8393
_cell_length_c 5.6337
_cell_angle_alpha 90.00
_cell_angle_beta 90.00
_cell_angle_gamma 90.00
loop_
_symmetry_equiv_pos_as_xyz
'x,y,z'
loop_
_atom_site_label
_atom_site_type_symbol
_atom_site_fract_x
_atom_site_fract_y
_atom_site_fract_z
Zn1 Zn 0.0000 0.0000 0.0000
Cu1 Cu 0.0000 0.5000 0.5000
Cu2 Cu 0.5000 0.0000 0.5000
Mo1 Mo 0.5000 0.5000 0.0000
I1 I 0.0000 0.0000 0.5000
# Formation energy (no corrections) ... 1.70 eV per atom

=====

# FePRuS2 (PBE, optimized geometry)
data_FePRuS2
_symmetry_space_group_name_H-M 'P 1'
_symmetry_Int_Tables_number 1
_cell_length_a 4.3241
_cell_length_b 4.3241
_cell_length_c 4.2406
_cell_angle_alpha 90.00
_cell_angle_beta 90.00
_cell_angle_gamma 90.00
loop_
_symmetry_equiv_pos_as_xyz
'x,y,z'
loop_
_atom_site_label
_atom_site_type_symbol
_atom_site_fract_x
_atom_site_fract_y
_atom_site_fract_z
Fe1 Fe 0.0000 0.0000 0.0000
P1 P 0.0000 0.0000 0.5000
Ru1 Ru 0.5000 0.5000 0.5000
S1 S 0.0000 0.5000 0.0000
S2 S 0.5000 0.0000 0.0000
# Formation energy (no corrections) ... 0.80 eV per atom
# Excess energy over the best structure of this formula in the dataset ... 0 meV/atom

=====

# K2ReMo (PBE, optimized geometry)
data_K2ReMo
_symmetry_space_group_name_H-M 'P 1'
_symmetry_Int_Tables_number 1
_cell_length_a 2.7330
_cell_length_b 6.1193
_cell_length_c 5.1447
_cell_angle_alpha 90.00
_cell_angle_beta 98.58
_cell_angle_gamma 90.00
loop_
_symmetry_equiv_pos_as_xyz
'x,y,z'
loop_
_atom_site_label
_atom_site_type_symbol
_atom_site_fract_x
_atom_site_fract_y
_atom_site_fract_z
K1 K 0.2490 0.0000 0.2520
K2 K 0.7510 0.0000 0.7480
Re1 Re 0.0000 0.5000 0.5000
Mo1 Mo 0.5000 0.5000 0.0000
# Energy of formation from the pure elements ... 5.757 eV/f.u.
# Excess energy over the best structure of this formula in the dataset ... 588 meV/atom

=====

# Li2ScMo (PBE, optimized geometry)
data_Li2ScMo
_symmetry_space_group_name_H-M 'P 1'
_symmetry_Int_Tables_number 1
_cell_length_a 2.6337
_cell_length_b 4.6668
_cell_length_c 5.8349
_cell_angle_alpha 90.00
_cell_angle_beta 98.17
_cell_angle_gamma 90.00
loop_
_symmetry_equiv_pos_as_xyz
'x,y,z'
loop_
_atom_site_label
_atom_site_type_symbol
_atom_site_fract_x
_atom_site_fract_y
_atom_site_fract_z
Li1 Li 0.0000 0.0000 0.0000
Li2 Li 0.2214 0.5000 0.7702
Sc1 Sc 0.3786 0.0000 0.4693
Mo1 Mo 0.7801 0.5000 0.2704
# Energy of formation from the pure elements ... 1.401 eV/f.u.
# Excess energy over the best structure of this formula in the dataset ... 124 meV/atom

=====

# BaZn2Pb (PBE, optimized geometry)
data_BaZn2Pb
_symmetry_space_group_name_H-M 'P 1'
_symmetry_Int_Tables_number 1
_cell_length_a 5.4520
_cell_length_b 5.4520
_cell_length_c 7.6848
_cell_angle_alpha 90.00
_cell_angle_beta 90.00
_cell_angle_gamma 90.00
loop_
_symmetry_equiv_pos_as_xyz
'x,y,z'
loop_
_atom_site_label
_atom_site_type_symbol
_atom_site_fract_x
_atom_site_fract_y
_atom_site_fract_z
Ba1 Ba 0.0000 0.0000 0.0000
Ba2 Ba 0.5000 0.5000 0.5000
Zn1 Zn 0.0000 0.0000 0.5000
Zn2 Zn 0.0000 0.5000 0.2500
Zn3 Zn 0.5000 0.0000 0.7500
Zn4 Zn 0.5000 0.5000 0.0000
Pb1 Pb 0.0000 0.5000 0.7500
Pb2 Pb 0.5000 0.0000 0.2500
# Energy of formation from the pure elements ... -0.217 eV/f.u.

=====

# RbNpGeTe3 (PBE, optimized geometry)
data_RbNpGeTe3
_symmetry_space_group_name_H-M 'P 1'
_symmetry_Int_Tables_number 1
_cell_length_a 9.4865
_cell_length_b 4.4203
_cell_length_c 11.9627
_cell_angle_alpha 90.00
_cell_angle_beta 110.56
_cell_angle_gamma 90.00
loop_
_symmetry_equiv_pos_as_xyz
'x,y,z'
loop_
_atom_site_label
_atom_site_type_symbol
_atom_site_fract_x
_atom_site_fract_y
_atom_site_fract_z
Rb1 Rb 0.2351 0.2500 0.2817
Rb2 Rb 0.7649 0.7500 0.7183
Np1 Np 0.3593 0.7500 0.8390
Np2 Np 0.6407 0.2500 0.1610
Ge1 Ge 0.1225 0.2500 0.5559
Ge2 Ge 0.8775 0.7500 0.4441
Te1 Te 0.1090 0.2500 0.7798
Te2 Te 0.3200 0.7500 0.5694
Te3 Te 0.3954 0.7500 0.1071
Te4 Te 0.6046 0.2500 0.8929
Te5 Te 0.6800 0.2500 0.4306
Te6 Te 0.8910 0.7500 0.2202
# Formation energy (no corrections) ... -0.61 eV per atom

=====

# Pm12Er7Mg (PBE, optimized geometry)
data_Pm12Er7Mg
_symmetry_space_group_name_H-M 'P 1'
_symmetry_Int_Tables_number 1
_cell_length_a 9.9664
_cell_length_b 9.9664
_cell_length_c 9.9664
_cell_angle_alpha 109.47
_cell_angle_beta 109.47
_cell_angle_gamma 109.47
loop_
_symmetry_equiv_pos_as_xyz
'x,y,z'
loop_
_atom_site_label
_atom_site_type_symbol
_atom_site_fract_x
_atom_site_fract_y
_atom_site_fract_z
Pm1 Pm 0.0000 0.2484 0.7516
Pm2 Pm 0.0000 0.7516 0.2484
Pm3 Pm 0.2484 0.0000 0.7516
Pm4 Pm 0.2484 0.2484 0.4967
Pm5 Pm 0.2484 0.4967 0.2484
Pm6 Pm 0.2484 0.7516 0.0000
Pm7 Pm 0.4967 0.2484 0.2484
Pm8 Pm 0.5033 0.7516 0.7516
Pm9 Pm 0.7516 0.0000 0.2484
Pm10 Pm 0.7516 0.2484 0.0000
Pm11 Pm 0.7516 0.5033 0.7516
Pm12 Pm 0.7516 0.7516 0.5033
Er1 Er 0.0000 0.0000 0.5000
Er2 Er 0.0000 0.5000 0.0000
Er3 Er 0.0000 0.5000 0.5000
Er4 Er 0.5000 0.0000 0.0000
Er5 Er 0.5000 0.0000 0.5000
Er6 Er 0.5000 0.5000 0.0000
Er7 Er 0.5000 0.5000 0.5000
Mg1 Mg 0.0000 0.0000 0.0000
# Energy of formation from the pure elements ... 13.891 eV/f.u.
# Excess energy over the best structure of this formula in the dataset ... 550 meV/atom

=====

The calculation returns the following DOS(E_F) values, one per record and in order: 1.652, 1.424, 0.000, 0.808, 0.994, 0.846, 0.761, 0.453, 1.550, 1.352 states/eV per atom.
The calculation returns the following theoretical density values, one per record and in order: 8.991, 9.882, 5.115, 5.228, 5.278, 7.033, 3.621, 6.911, 5.501, 6.396 g cm⁻³.